1.
Compound: Pr6Er12Tm
Source: Alexandria
Functional: PBE
Structure: relaxed

Calculated values
Calculated formation energy, eV per atom: 0.221
Total moment, μB/f.u.: 0.004
Density, kg/m3: 7851
Total DFT energy (no corrections), eV per atom: -4.405
N(E_F), states/eV/cell: 88.33

```
data_Pr6Er12Tm
_chemical_formula_sum 'Pr18 Er36 Tm3'
_cell_length_a 13.2414
_cell_length_b 13.2414
_cell_length_c 12.6253
_cell_angle_alpha 90.00
_cell_angle_beta 90.00
_cell_angle_gamma 120.00
_space_group_name_H-M_alt 'R -3 m'
_space_group_IT_number 166
_space_group_name_Hall '-R 3 2"'
loop_
_atom_site_label
_atom_site_fract_x
_atom_site_fract_y
_atom_site_fract_z
Pr1 0.0398 0.5199 0.1171
Er1 0.0000 0.2557 0.0000
Er2 0.0913 0.1825 0.7636
Tm1 0.0000 0.0000 0.5000
```

***

2.
Compound: Pr5Er2Tm5
Source: Alexandria
Functional: PBE
Structure: relaxed

Calculated values
Calculated formation energy, eV per atom: 0.024
Total moment, μB/f.u.: 0.000
Density, kg/m3: 8003
Total DFT energy (no corrections), eV per atom: -4.591
N(E_F), states/eV/cell: 33.72

```
data_Pr5Er2Tm5
_chemical_formula_sum 'Pr10 Er4 Tm10'
_cell_length_a 15.245
_cell_length_b 5.054
_cell_length_c 11.351
_cell_angle_alpha 90.00
_cell_angle_beta 116.65
_cell_angle_gamma 90.00
_space_group_name_H-M_alt 'C 1 2/m 1'
_space_group_IT_number 12
loop_
_space_group_symop_operation_xyz
'x,y,z'
'-x,-y,-z'
'-x,y,-z'
'x,-y,z'
'x+1/2,y+1/2,z'
'-x+1/2,-y+1/2,-z'
'-x+1/2,y+1/2,-z'
'x+1/2,-y+1/2,z'
loop_
_atom_site_label
_atom_site_fract_x
_atom_site_fract_y
_atom_site_fract_z
Pr1 0.000 0.000 0.000
Pr2 0.081 0.000 0.748
Pr3 0.249 0.000 0.251
Er1 0.167 0.000 0.499
Tm1 0.000 0.500 0.500
Tm2 0.085 0.500 0.253
Tm3 0.167 0.500 0.000
```

***

3.
Compound: Pr4ErTm15
Source: Alexandria
Functional: PBE
Structure: relaxed

Calculated values
Calculated formation energy, eV per atom: 0.030
Total moment, μB/f.u.: 0.000
Density, kg/m3: 8690
Total DFT energy (no corrections), eV per atom: -4.508
N(E_F), states/eV/cell: 28.78

```
data_Pr4ErTm15
_chemical_formula_sum 'Pr4 Er1 Tm15'
_cell_length_a 5.005
_cell_length_b 5.005
_cell_length_c 24.902
_cell_angle_alpha 90.00
_cell_angle_beta 90.00
_cell_angle_gamma 90.00
_space_group_name_H-M_alt 'P 4/m m m'
_space_group_IT_number 123
_space_group_name_Hall '-P 4 2'
loop_
_atom_site_label
_atom_site_fract_x
_atom_site_fract_y
_atom_site_fract_z
Pr1 0.000 0.000 0.101
Pr2 0.000 0.000 0.301
Er1 0.000 0.000 0.500
Tm1 0.000 0.500 0.000
Tm2 0.000 0.500 0.201
Tm3 0.000 0.500 0.402
Tm4 0.500 0.500 0.100
Tm5 0.500 0.500 0.302
Tm6 0.500 0.500 0.500
```

***

4.
Compound: PrEr4Tm5
Source: Alexandria
Functional: PBE
Structure: relaxed

Calculated values
Energy relative to the lowest polymorph listed for this composition, kcal/mol of atoms: 0.00
Calculated formation energy, eV per atom: 0.065
Total moment, μB/f.u.: 0.000
Density, kg/m3: 8827
Total DFT energy (no corrections), eV per atom: -4.474
N(E_F), states/eV/cell: 16.26

```
data_PrEr4Tm5
_chemical_formula_sum 'Pr1 Er4 Tm5'
_cell_length_a 3.522
_cell_length_b 6.596
_cell_length_c 14.022
_cell_angle_alpha 98.51
_cell_angle_beta 93.52
_cell_angle_gamma 103.80
_space_group_name_H-M_alt 'P -1'
_space_group_IT_number 2
loop_
_space_group_symop_operation_xyz
'x,y,z'
'-x,-y,-z'
loop_
_atom_site_label
_atom_site_fract_x
_atom_site_fract_y
_atom_site_fract_z
Pr1 0.000 0.000 0.000
Er1 0.108 0.808 0.219
Er2 0.201 0.729 0.803
Tm1 0.206 0.881 0.583
Tm2 0.494 0.427 0.613
Tm3 0.500 0.500 0.000
```

***

5.
Compound: PrEr3Tm3
Source: Alexandria
Functional: PBE
Structure: relaxed

Calculated values
Energy relative to the lowest polymorph listed for this composition, kcal/mol of atoms: 1.84
Calculated formation energy, eV per atom: 0.298
Total moment, μB/f.u.: 0.000
Density, kg/m3: 8297
Total DFT energy (no corrections), eV per atom: -4.257
N(E_F), states/eV/cell: 29.44

```
data_PrEr3Tm3
_chemical_formula_sum 'Pr3 Er9 Tm9'
_cell_length_a 10.6826
_cell_length_b 10.6826
_cell_length_c 6.9835
_cell_angle_alpha 90.00
_cell_angle_beta 90.00
_cell_angle_gamma 120.00
_space_group_name_H-M_alt 'R 3 m'
_space_group_IT_number 160
_space_group_name_Hall 'R 3 -2"'
loop_
_atom_site_label
_atom_site_fract_x
_atom_site_fract_y
_atom_site_fract_z
Pr1 0.0000 0.0000 0.0000
Er1 0.1949 0.3897 0.3832
Tm1 0.1837 0.3674 0.9029
```

***

6.
Compound: PrErTm
Source: Alexandria
Functional: PBE
Structure: relaxed

Calculated values
Energy relative to the lowest polymorph listed for this composition, kcal/mol of atoms: 0.14
Calculated formation energy, eV per atom: 0.030
Total moment, μB/f.u.: 0.000
Density, kg/m3: 8190
Total DFT energy (no corrections), eV per atom: -4.575
N(E_F), states/eV/cell: 8.64

```
data_PrErTm
_chemical_formula_sum 'Pr2 Er2 Tm2'
_cell_length_a 3.574
_cell_length_b 3.574
_cell_length_c 15.147
_cell_angle_alpha 90.00
_cell_angle_beta 90.00
_cell_angle_gamma 90.00
_space_group_name_H-M_alt 'I 4 m m'
_space_group_IT_number 107
_space_group_name_Hall 'I 4 -2'
loop_
_atom_site_label
_atom_site_fract_x
_atom_site_fract_y
_atom_site_fract_z
Pr1 0.000 0.000 0.000
Er1 0.000 0.000 0.330
Tm1 0.000 0.000 0.669
```

***

7.
Compound: Pr3ErTm4
Source: Alexandria
Functional: PBE
Structure: relaxed

Calculated values
Energy relative to the lowest polymorph listed for this composition, kcal/mol of atoms: 3.08
Calculated formation energy, eV per atom: 0.141
Total moment, μB/f.u.: 0.000
Density, kg/m3: 7969
Total DFT energy (no corrections), eV per atom: -4.458
N(E_F), states/eV/cell: 23.74

```
data_Pr3ErTm4
_chemical_formula_sum 'Pr6 Er2 Tm8'
_cell_length_a 3.481
_cell_length_b 11.668
_cell_length_c 12.987
_cell_angle_alpha 90.00
_cell_angle_beta 90.00
_cell_angle_gamma 90.00
_space_group_name_H-M_alt 'I m m m'
_space_group_IT_number 71
_space_group_name_Hall '-I 2 2'
loop_
_atom_site_label
_atom_site_fract_x
_atom_site_fract_y
_atom_site_fract_z
Pr1 0.000 0.000 0.000
Pr2 0.000 0.500 0.244
Er1 0.000 0.000 0.500
Tm1 0.000 0.244 0.365
```

***

8.
Compound: Pr7Er6Tm16
Source: Alexandria
Functional: PBE
Structure: relaxed

Calculated values
Calculated formation energy, eV per atom: 0.202
Total moment, μB/f.u.: 0.003
Density, kg/m3: 8305
Total DFT energy (no corrections), eV per atom: -4.363
N(E_F), states/eV/cell: 204.93

```
data_Pr7Er6Tm16
_chemical_formula_sum 'Pr28 Er24 Tm64'
_cell_length_a 15.541
_cell_length_b 15.541
_cell_length_c 15.541
_cell_angle_alpha 90.00
_cell_angle_beta 90.00
_cell_angle_gamma 90.00
_space_group_name_H-M_alt 'F m -3 m'
_space_group_IT_number 225
_space_group_name_Hall '-F 4 2 3'
loop_
_atom_site_label
_atom_site_fract_x
_atom_site_fract_y
_atom_site_fract_z
Pr1 0.000 0.000 0.000
Pr2 0.000 0.250 0.250
Er1 0.000 0.000 0.226
Tm1 0.113 0.113 0.387
Tm2 0.150 0.150 0.150
```

***

9.
Compound: Pr2Er3Tm3
Source: Alexandria
Functional: PBE
Structure: relaxed

Calculated values
Energy relative to the lowest polymorph listed for this composition, kcal/mol of atoms: 1.84
Calculated formation energy, eV per atom: 0.228
Total moment, μB/f.u.: 0.004
Density, kg/m3: 8283
Total DFT energy (no corrections), eV per atom: -4.355
N(E_F), states/eV/cell: 52.51

```
data_Pr2Er3Tm3
_chemical_formula_sum 'Pr6 Er9 Tm9'
_cell_length_a 9.0111
_cell_length_b 9.0111
_cell_length_c 11.0365
_cell_angle_alpha 90.00
_cell_angle_beta 90.00
_cell_angle_gamma 120.00
_space_group_name_H-M_alt 'R 3 2'
_space_group_IT_number 155
_space_group_name_Hall 'R 3 2"'
loop_
_atom_site_label
_atom_site_fract_x
_atom_site_fract_y
_atom_site_fract_z
Pr1 0.0000 0.0000 0.2502
Er1 0.0000 0.7491 0.5000
Tm1 0.0000 0.2491 0.0000
```

***

10.
Compound: Pr3ErTm7
Source: Alexandria
Functional: PBE
Structure: relaxed

Calculated values
Energy relative to the lowest polymorph listed for this composition, kcal/mol of atoms: 0.00
Calculated formation energy, eV per atom: 0.126
Total moment, μB/f.u.: 0.000
Density, kg/m3: 8232
Total DFT energy (no corrections), eV per atom: -4.438
N(E_F), states/eV/cell: 17.47

```
data_Pr3ErTm7
_chemical_formula_sum 'Pr3 Er1 Tm7'
_cell_length_a 6.474
_cell_length_b 6.667
_cell_length_c 8.547
_cell_angle_alpha 99.63
_cell_angle_beta 98.15
_cell_angle_gamma 95.19
_space_group_name_H-M_alt 'P -1'
_space_group_IT_number 2
loop_
_space_group_symop_operation_xyz
'x,y,z'
'-x,-y,-z'
loop_
_atom_site_label
_atom_site_fract_x
_atom_site_fract_y
_atom_site_fract_z
Pr1 0.000 0.000 0.000
Pr2 0.197 0.562 0.165
Er1 0.500 0.000 0.500
Tm1 0.012 0.769 0.578
Tm2 0.282 0.275 0.787
Tm3 0.438 0.792 0.854
Tm4 0.500 0.500 0.500
```